1.
Compound: K2PuAu2Se4
Source: the Alexandria database
Functional: PBE
Structure: optimized geometry

Calculated values
Raw formation energy in eV/f.u.: -7.98
Space group: C2/m (12)
VASP energy in eV per atom: -5.000

```
K2PuAu2Se4
1.0
4.208 0.000 0.000
0.000 8.010 0.331
-2.104 -2.872 7.086
Se Pu Au K
4 1 2 2
direct
0.510 0.759 0.020
0.805 0.793 0.610
0.195 0.207 0.390
0.490 0.241 0.980
0.000 0.000 0.000
0.678 0.994 0.355
0.322 0.006 0.645
0.867 0.421 0.735
0.133 0.579 0.265
```

***

2.
Compound: K2PuTe4Au
Source: the Alexandria database
Functional: PBE
Structure: optimized geometry

Calculated values
Raw formation energy in eV/f.u.: -4.75
Space group: I-42m (121)
VASP energy in eV per atom: -4.641

```
K2PuTe4Au
1.0
-3.477 -3.335 -5.791
3.528 -3.396 -5.062
-2.109 -6.715 0.233
Te K Pu Au
4 2 1 1
direct
0.913 0.000 0.630
0.457 0.630 0.000
0.087 0.370 0.000
0.543 0.000 0.370
0.500 0.500 0.500
0.000 0.500 0.500
0.000 0.000 0.000
0.500 0.000 0.000
```

***

3.
Compound: KPuTe2Au
Source: the Alexandria database
Functional: PBE
Structure: optimized geometry

Calculated values
Raw formation energy in eV/f.u.: -3.64
Space group: P2/c (13)
VASP energy in eV per atom: -5.727

```
KPuTe2Au
1.0
-1.757 -4.729 -0.923
6.798 -1.552 -4.986
3.032 -2.573 7.413
Au Te K Pu
2 4 2 2
direct
0.000 0.000 0.000
0.000 0.000 0.500
0.695 0.746 0.960
0.695 0.254 0.540
0.305 0.746 0.460
0.305 0.254 0.040
0.181 0.500 0.750
0.819 0.500 0.250
0.510 0.000 0.750
0.490 0.000 0.250
```

***

4.
Compound: KRb3Au
Source: the Alexandria database
Functional: PBE
Structure: optimized geometry

Calculated values
Energy relative to the elements in kJ per mole of atoms: -11.07
Space group: P2/c (13)
VASP energy in eV per atom: -1.570

```
KRb3Au
1.0
9.220 0.000 0.684
0.000 8.681 0.000
-0.247 0.000 16.141
Rb K Au
12 4 4
direct
0.374 0.763 0.543
0.263 0.566 0.281
0.626 0.763 0.957
0.897 0.284 0.963
0.626 0.237 0.457
0.897 0.716 0.463
0.737 0.566 0.219
0.263 0.434 0.781
0.374 0.237 0.043
0.103 0.284 0.537
0.103 0.716 0.037
0.737 0.434 0.719
0.213 0.922 0.786
0.787 0.078 0.214
0.213 0.078 0.286
0.787 0.922 0.714
0.953 0.345 0.339
0.047 0.345 0.161
0.047 0.655 0.661
0.953 0.655 0.839
```

***

5.
Compound: KRbAu
Source: the Alexandria database
Functional: PBE
Structure: optimized geometry

Calculated values
Energy relative to the elements in kJ per mole of atoms: -16.44
Space group: P3m1 (156)
VASP energy in eV per atom: -1.951

```
KRbAu
1.0
8.180 0.000 0.000
0.000 4.812 0.000
0.000 -2.406 4.168
Rb K Au
1 1 1
direct
0.754 0.667 0.333
0.237 0.333 0.667
0.009 0.000 0.000
```

***

6.
Compound: K3RbAu8
Source: the Alexandria database
Functional: PBE
Structure: optimized geometry

Calculated values
Energy relative to the elements in kJ per mole of atoms: -27.40
Space group: P3m1 (156)
VASP energy in eV per atom: -2.824

```
K3RbAu8
1.0
5.795 0.000 0.000
-2.897 5.018 0.000
0.000 0.000 9.900
Au K Rb
8 3 1
direct
0.501 0.499 0.754
0.166 0.332 0.247
0.998 0.499 0.754
0.668 0.834 0.247
0.333 0.667 0.499
0.166 0.834 0.247
0.333 0.667 0.000
0.501 0.002 0.754
0.000 0.000 0.939
0.667 0.333 0.436
0.667 0.333 0.062
0.000 0.000 0.562
```

***

7.
Compound: KRb3Au
Source: the Alexandria database
Functional: PBE
Structure: optimized geometry

Calculated values
Energy relative to the elements in kJ per mole of atoms: -10.21
Space group: P2_1/m (11)
VASP energy in eV per atom: -1.561

```
KRb3Au
1.0
-4.023 2.236 -2.065
3.469 -4.338 -11.458
-6.916 -6.310 6.645
Rb K Au
6 2 2
direct
0.195 0.019 0.219
0.696 0.402 0.335
0.195 0.742 0.531
0.196 0.452 0.668
0.696 0.680 0.023
0.695 0.970 0.886
0.195 0.319 0.970
0.695 0.102 0.585
0.195 0.764 0.859
0.695 0.657 0.695
```

***

8.
Compound: K4Rb5Au
Source: the Alexandria database
Functional: PBE
Structure: optimized geometry

Calculated values
Energy relative to the elements in kJ per mole of atoms: -4.49
Space group: C2/m (12)
VASP energy in eV per atom: -1.297

```
K4Rb5Au
1.0
4.715 0.000 -1.027
-0.553 13.161 -2.539
0.154 0.077 12.046
K Rb Au
4 5 1
direct
0.001 0.168 0.002
0.354 0.954 0.709
0.999 0.832 0.998
0.646 0.046 0.291
0.827 0.258 0.654
0.173 0.742 0.346
0.829 0.617 0.659
0.500 0.500 0.000
0.171 0.383 0.341
0.500 0.000 0.000
```

***

9.
Compound: KRb2Au
Source: the Alexandria database
Functional: PBE
Structure: optimized geometry

Calculated values
Energy relative to the elements in kJ per mole of atoms: -10.65
Space group: R-3m (166)
VASP energy in eV per atom: -1.688

```
KRb2Au
1.0
-2.464 3.083 2.762
-2.111 -1.547 4.044
9.211 3.163 8.886
Rb Au K
2 1 1
direct
0.886 0.886 0.341
0.114 0.114 0.659
0.500 0.500 0.500
0.000 0.000 0.000
```

***

10.
Compound: K8Rb4Au
Source: the Alexandria database
Functional: PBE
Structure: optimized geometry

Calculated values
Energy relative to the elements in kJ per mole of atoms: -4.28
Space group: Pmm2 (25)
VASP energy in eV per atom: -1.270

```
K8Rb4Au
1.0
6.724 0.000 0.000
0.000 6.723 0.000
0.000 0.000 20.514
K Rb Au
8 4 1
direct
0.000 0.500 0.917
0.000 0.000 0.420
0.500 0.500 0.754
0.000 0.500 0.253
0.000 0.000 0.754
0.500 0.000 0.590
0.500 0.500 0.089
0.500 0.000 0.252
0.000 0.500 0.590
0.500 0.500 0.414
0.500 0.000 0.918
0.000 0.000 0.091
0.000 0.000 0.260
```

***

11.
Compound: KRb2Au
Source: the Alexandria database
Functional: PBE
Structure: optimized geometry

Calculated values
Energy relative to the elements in kJ per mole of atoms: -10.76
Space group: I-42d (122)
VASP energy in eV per atom: -1.689

```
KRb2Au
1.0
-1.832 -7.271 9.574
7.582 -8.215 -4.788
5.467 -6.285 3.997
Au Rb K
2 4 2
direct
0.000 0.000 0.000
0.750 0.250 0.500
0.996 0.625 0.250
0.754 0.125 0.250
0.875 0.004 0.750
0.375 0.246 0.750
0.250 0.750 0.500
0.500 0.500 0.000
```

***

12.
Compound: K11RbAu5
Source: the Alexandria database
Functional: PBE
Structure: optimized geometry

Calculated values
Energy relative to the elements in kJ per mole of atoms: -16.57
Space group: C2/m (12)
VASP energy in eV per atom: -1.903

```
K11RbAu5
1.0
-7.463 0.399 -3.120
2.141 -9.413 -2.969
-2.696 -1.477 9.620
K Au Rb
11 5 1
direct
0.500 0.000 0.000
0.631 0.326 0.326
0.667 0.134 0.661
0.109 0.194 0.466
0.333 0.339 0.866
0.333 0.866 0.339
0.109 0.466 0.194
0.891 0.806 0.534
0.667 0.661 0.134
0.891 0.534 0.806
0.369 0.674 0.674
0.266 0.681 0.000
0.000 0.500 0.500
0.734 0.319 0.000
0.266 0.000 0.681
0.734 0.000 0.319
0.000 0.000 0.000
```

***

13.
Compound: KRbAu
Source: the Alexandria database
Functional: PBE
Structure: optimized geometry

Calculated values
Energy relative to the elements in kJ per mole of atoms: -19.33
Space group: C2/m (12)
VASP energy in eV per atom: -1.981

```
KRbAu
1.0
-4.027 1.349 -0.309
-1.882 -5.037 2.549
2.841 4.093 10.158
Au K Rb
2 2 2
direct
0.501 0.526 0.688
0.359 0.025 0.405
0.120 0.526 0.926
0.740 0.025 0.167
0.869 0.525 0.425
0.991 0.026 0.668
```

***

14.
Compound: K12RbAu7
Source: the Alexandria database
Functional: PBE
Structure: optimized geometry

Calculated values
Energy relative to the elements in kJ per mole of atoms: -20.12
Space group: R-3 (148)
VASP energy in eV per atom: -2.062

```
K12RbAu7
1.0
6.818 0.000 -1.403
-3.481 10.383 -5.404
0.144 0.000 12.210
K Au Rb
12 7 1
direct
0.157 0.707 0.781
0.843 0.293 0.219
0.303 0.383 0.532
0.920 0.149 0.617
0.697 0.617 0.468
0.229 0.532 0.149
0.549 0.926 0.707
0.771 0.468 0.851
0.451 0.074 0.293
0.624 0.781 0.074
0.080 0.851 0.383
0.376 0.219 0.926
0.881 0.239 0.921
0.500 0.000 0.000
0.642 0.682 0.761
0.358 0.318 0.239
0.040 0.921 0.682
0.119 0.761 0.079
0.960 0.079 0.318
0.000 0.000 0.000
```

***

15.
Compound: K5Rb2Au3
Source: the Alexandria database
Functional: PBE
Structure: optimized geometry

Calculated values
Energy relative to the elements in kJ per mole of atoms: -17.57
Space group: Cmc2_1 (36)
VASP energy in eV per atom: -1.908

```
K5Rb2Au3
1.0
-2.894 4.135 0.191
-7.246 -4.859 -4.592
-5.036 -7.335 15.709
Au K Rb
6 10 4
direct
0.029 0.972 0.059
0.384 0.010 0.768
0.616 0.510 0.232
0.754 0.710 0.507
0.246 0.210 0.493
0.971 0.472 0.941
0.708 0.017 0.416
0.057 0.613 0.114
0.290 0.902 0.580
0.292 0.517 0.584
0.410 0.413 0.819
0.710 0.402 0.420
0.590 0.913 0.181
0.943 0.113 0.886
0.127 0.259 0.254
0.873 0.759 0.746
0.526 0.278 0.053
0.826 0.191 0.651
0.174 0.691 0.349
0.474 0.778 0.947
```

***

16.
Compound: K7Rb3Au4
Source: the Alexandria database
Functional: PBE
Structure: optimized geometry

Calculated values
Energy relative to the elements in kJ per mole of atoms: -15.47
Space group: C2/m (12)
VASP energy in eV per atom: -1.853

```
K7Rb3Au4
1.0
5.067 0.000 1.278
1.780 10.474 3.626
-0.332 -0.049 11.996
K Au Rb
7 4 3
direct
0.000 0.000 0.000
0.684 0.159 0.474
0.172 0.577 0.078
0.504 0.753 0.239
0.496 0.247 0.761
0.316 0.841 0.526
0.828 0.423 0.922
0.668 0.426 0.238
0.126 0.070 0.677
0.874 0.930 0.323
0.332 0.574 0.762
0.000 0.500 0.500
0.303 0.183 0.212
0.697 0.817 0.788
```

***

17.
Compound: KRb7Au6
Source: the Alexandria database
Functional: PBE
Structure: optimized geometry

Calculated values
Energy relative to the elements in kJ per mole of atoms: -23.99
Space group: R3 (146)
VASP energy in eV per atom: -2.215

```
KRb7Au6
1.0
-7.121 -2.189 7.234
-8.057 -6.123 -2.330
-1.515 -8.143 3.497
Au Rb K
6 7 1
direct
0.378 0.799 0.827
0.799 0.995 0.827
0.870 0.672 0.186
0.272 0.870 0.186
0.995 0.378 0.827
0.672 0.272 0.186
0.216 0.507 0.302
0.667 0.667 0.999
0.445 0.157 0.712
0.975 0.216 0.302
0.157 0.686 0.712
0.507 0.975 0.302
0.686 0.445 0.712
0.995 0.995 0.014
```

***

18.
Compound: K5Rb2Au4
Source: the Alexandria database
Functional: PBE
Structure: optimized geometry

Calculated values
Energy relative to the elements in kJ per mole of atoms: -17.90
Space group: C2/m (12)
VASP energy in eV per atom: -2.052

```
K5Rb2Au4
1.0
4.725 0.000 -0.840
-0.198 8.765 -1.114
-0.191 0.590 12.642
K Au Rb
5 4 2
direct
0.783 0.716 0.566
0.217 0.284 0.434
0.864 0.146 0.727
0.136 0.854 0.273
0.500 0.000 0.000
0.915 0.820 0.830
0.985 0.328 0.970
0.015 0.672 0.030
0.085 0.180 0.170
0.419 0.543 0.839
0.581 0.457 0.161
```

***

19.
Compound: K2Rb4Au
Source: the Alexandria database
Functional: PBE
Structure: optimized geometry

Calculated values
Energy relative to the elements in kJ per mole of atoms: -5.92
Space group: C2/m (12)
VASP energy in eV per atom: -1.396

```
K2Rb4Au
1.0
0.606 6.765 0.091
0.750 0.054 -9.032
-8.134 -2.718 2.684
Rb K Au
4 2 1
direct
0.476 0.762 0.951
0.524 0.238 0.049
0.855 0.209 0.711
0.145 0.791 0.289
0.198 0.307 0.397
0.802 0.693 0.603
0.000 0.000 0.000
```

***

20.
Compound: K3RbAu8
Source: the Alexandria database
Functional: PBE
Structure: optimized geometry

Calculated values
Energy relative to the elements in kJ per mole of atoms: -26.71
Space group: R3m (160)
VASP energy in eV per atom: -2.817

```
K3RbAu8
1.0
-4.772 -0.536 3.304
-1.329 -5.149 2.386
3.145 0.408 9.752
Au Rb K
8 1 3
direct
0.937 0.937 0.691
0.435 0.937 0.691
0.438 0.438 0.184
0.940 0.438 0.184
0.688 0.688 0.937
0.187 0.187 0.438
0.937 0.435 0.691
0.438 0.940 0.184
0.875 0.875 0.376
0.000 0.000 0.999
0.375 0.375 0.875
0.500 0.500 0.500
```

***

Number 1: magnetization 4.14 μB per cell. Number 2: magnetization 3.23 μB per cell. Number 3: magnetization 11.95 μB per cell. Number 4: magnetization 0.00 μB per cell. Number 5: magnetization 0.00 μB per cell. Number 6: magnetization 0.00 μB per cell. Number 7: magnetization 0.00 μB per cell. Number 8: magnetization 0.00 μB per cell. Number 9: magnetization 0.00 μB per cell. Number 10: magnetization 0.00 μB per cell. Number 11: magnetization 0.00 μB per cell. Number 12: magnetization 0.00 μB per cell. Number 13: magnetization 0.00 μB per cell. Number 14: magnetization 0.00 μB per cell. Number 15: magnetization 0.00 μB per cell. Number 16: magnetization 0.00 μB per cell. Number 17: magnetization 0.00 μB per cell. Number 18: magnetization 0.00 μB per cell. Number 19: magnetization 0.00 μB per cell. Number 20: magnetization 0.00 μB per cell.